VASP calculation (PBE-GGA) on a relaxed structure of Ca2Ac2NiGe4.

Cell and atoms, written as POSCAR:
```
Ca2Ac2NiGe4
1.0
-1.577 -2.696 5.953
5.206 -2.787 -3.213
2.389 6.282 0.149
Ca Ge Ni Ac
2 4 1 2
Direct
0.000 0.689 0.689 Ca
0.000 0.311 0.311 Ca
0.529 0.764 0.764 Ge
0.000 0.764 0.236 Ge
0.000 0.236 0.764 Ge
0.471 0.236 0.236 Ge
0.000 0.000 0.000 Ni
0.500 0.750 0.250 Ac
0.500 0.250 0.750 Ac
```

Values from the calculation:
Space group ... No. 139
V ... 25.10 A^3/atom
Uncorrected energy ... -4.5508 eV/atom
Formation energy from the elements ... -0.4985 eV per atom
Crystal system ... tetragonal